Entry 1:
Computed, not measured: AlSiCl after structural relaxation at the PBE-GGA level of DFT.

Lattice parameters (Å, degrees): 4.2668 3.7093 10.2869 90.00 101.71 90.00
Positions (direct):
Cl (0.8349, 0.2500, 0.1622)
Al (0.0933, 0.2500, 0.6904)
Cl (0.1651, 0.7500, 0.8378)
Si (0.4648, 0.7500, 0.4283)
Al (0.9067, 0.7500, 0.3096)
Si (0.5352, 0.2500, 0.5717)

Properties
polymorph energy (0 for the lowest one): 0.0 meV/atom
electronic total energy: -25.41 eV per cell

***

Entry 2:
Computed, not measured: AlSiCl2 after structural relaxation at the PBE-GGA level of DFT.

Lattice parameters (Å, degrees): 5.2169 5.2169 3.1405 90.00 90.00 104.84
Positions (direct):
Cl (0.0000, 0.0000, 0.0000)
Si (0.5000, 0.0000, 0.5000)
Cl (0.5000, 0.5000, 0.0000)
Al (0.0000, 0.5000, 0.5000)

Properties
polymorph energy (0 for the lowest one): 790.4 meV/atom
electronic total energy: -12.10 eV per cell

***

Entry 3:
Computed, not measured: AlSiCl2 after structural relaxation at the PBE-GGA level of DFT.

Lattice parameters (Å, degrees): 4.3589 4.2572 6.6365 75.12 90.00 90.00
Positions (direct):
Cl (0.0000, 0.9804, 0.8840)
Cl (0.5000, 0.2621, 0.3575)
Si (0.0000, 0.6041, 0.7153)
Al (0.5000, 0.6534, 0.5432)

Properties
polymorph energy (0 for the lowest one): 162.3 meV/atom
electronic total energy: -14.61 eV per cell

***

Entry 4:
Computed, not measured: AlSi2Cl after structural relaxation at the PBE-GGA level of DFT.

Lattice parameters (Å, degrees): 5.2409 5.3868 6.7574 79.30 79.39 85.30
Positions (direct):
Al (0.5206, 0.8885, 0.6096)
Si (0.1814, 0.0638, 0.8621)
Si (0.4345, 0.7274, 0.0305)
Cl (0.4844, 0.1300, 0.3003)
Si (0.2194, 0.5136, 0.8109)
Cl (0.8956, 0.4683, 0.4023)
Si (0.8555, 0.8092, 0.8222)
Al (0.3081, 0.5186, 0.3986)

Properties
polymorph energy (0 for the lowest one): 240.0 meV/atom
electronic total energy: -34.18 eV per cell

***

Entry 5:
Computed, not measured: AlSiCl after structural relaxation at the PBE-GGA level of DFT.

Lattice parameters (Å, degrees): 3.0999 4.2522 11.6198 99.85 90.55 111.35
Positions (direct):
Cl (0.6081, 0.1917, 0.8419)
Cl (0.3919, 0.8083, 0.1581)
Si (0.2202, 0.4472, 0.4141)
Si (0.7798, 0.5528, 0.5859)
Al (0.9127, 0.8396, 0.3102)
Al (0.0873, 0.1604, 0.6898)

Properties
polymorph energy (0 for the lowest one): 109.5 meV/atom
electronic total energy: -24.75 eV per cell

***

Entry 6:
Computed, not measured: AlSi2Cl after structural relaxation at the PBE-GGA level of DFT.

Lattice parameters (Å, degrees): 3.8228 4.8064 4.8190 62.33 90.00 90.00
Positions (direct):
Al (0.0000, 0.4526, 0.4726)
Si (0.5000, 0.2757, 0.2087)
Si (0.0000, 0.0539, 0.0721)
Cl (0.5000, 0.7178, 0.7466)

Properties
polymorph energy (0 for the lowest one): 369.6 meV/atom
electronic total energy: -16.57 eV per cell

***

Entry 7:
Computed, not measured: AlSiCl after structural relaxation at the PBE-GGA level of DFT.

Lattice parameters (Å, degrees): 5.7205 5.7205 5.7205 142.41 142.41 54.21
Positions (direct):
Cl (0.3366, 0.3366, 0.0000)
Si (0.5645, 0.5645, 0.0000)
Al (0.0990, 0.0990, 0.0000)

Properties
polymorph energy (0 for the lowest one): 492.4 meV/atom
electronic total energy: -11.23 eV per cell

***

Entry 8:
Computed, not measured: AlSiCl2 after structural relaxation at the PBE-GGA level of DFT.

Lattice parameters (Å, degrees): 3.9838 4.5305 4.5305 90.00 90.00 90.00
Positions (direct):
Al (0.5000, 0.0000, 0.5000)
Cl (0.0000, 0.5000, 0.5000)
Si (0.5000, 0.5000, 0.0000)
Cl (0.0000, 0.0000, 0.0000)

Properties
polymorph energy (0 for the lowest one): 802.6 meV/atom
electronic total energy: -12.05 eV per cell

***

Entry 9:
Computed, not measured: AlSiCl2 after structural relaxation at the PBE-GGA level of DFT.

Lattice parameters (Å, degrees): 7.7635 7.7635 4.0796 94.20 94.20 24.20
Positions (direct):
Cl (0.1100, 0.1100, 0.0326)
Si (0.7500, 0.7500, 0.7500)
Cl (0.3900, 0.3900, 0.4674)
Al (0.2500, 0.2500, 0.2500)

Properties
polymorph energy (0 for the lowest one): 202.7 meV/atom
electronic total energy: -14.45 eV per cell

***

Entry 10:
Computed, not measured: AlSi2Cl after structural relaxation at the PBE-GGA level of DFT.

Lattice parameters (Å, degrees): 8.8540 8.8540 8.8540 23.43 23.43 23.43
Positions (direct):
Al (0.5146, 0.5146, 0.5146)
Cl (0.7872, 0.7872, 0.7872)
Si (0.9549, 0.9549, 0.9549)
Si (0.2433, 0.2433, 0.2433)

Properties
polymorph energy (0 for the lowest one): 356.8 meV/atom
electronic total energy: -16.62 eV per cell

***

Entry 11:
Computed, not measured: Al3SiCl after structural relaxation at the PBE-GGA level of DFT.

Lattice parameters (Å, degrees): 4.9830 4.9830 4.9830 90.00 90.00 90.00
Positions (direct):
Cl (0.5000, 0.5000, 0.5000)
Al (0.5000, 0.0000, 0.0000)
Al (0.0000, 0.5000, 0.0000)
Si (0.0000, 0.0000, 0.0000)
Al (0.0000, 0.0000, 0.5000)

Properties
polymorph energy (0 for the lowest one): 0.0 meV/atom
electronic total energy: -16.42 eV per cell

***

Entry 12:
Computed, not measured: AlSiCl2 after structural relaxation at the PBE-GGA level of DFT.

Lattice parameters (Å, degrees): 9.2072 9.2072 9.2072 19.86 19.86 19.86
Positions (direct):
Al (0.0000, 0.0000, 0.0000)
Cl (0.9144, 0.9144, 0.9144)
Cl (0.0856, 0.0856, 0.0856)
Si (0.5000, 0.5000, 0.5000)

Properties
polymorph energy (0 for the lowest one): 536.4 meV/atom
electronic total energy: -13.11 eV per cell

***

Entry 13:
Computed, not measured: AlSiCl2 after structural relaxation at the PBE-GGA level of DFT.

Lattice parameters (Å, degrees): 6.4830 6.4830 6.4830 145.19 145.19 50.05
Positions (direct):
Si (0.5000, 0.5000, 0.0000)
Cl (0.2500, 0.7500, 0.5000)
Cl (0.0000, 0.0000, 0.0000)
Al (0.7500, 0.2500, 0.5000)

Properties
polymorph energy (0 for the lowest one): 735.9 meV/atom
electronic total energy: -12.32 eV per cell

***

Entry 14:
Computed, not measured: AlSi2Cl after structural relaxation at the PBE-GGA level of DFT.

Lattice parameters (Å, degrees): 4.5748 4.5748 4.5748 60.00 60.00 60.00
Positions (direct):
Al (0.5000, 0.5000, 0.5000)
Si (0.2500, 0.2500, 0.2500)
Cl (0.7500, 0.7500, 0.7500)
Si (0.0000, 0.0000, 0.0000)

Properties
polymorph energy (0 for the lowest one): 761.0 meV/atom
electronic total energy: -15.01 eV per cell

***

Entry 15:
Computed, not measured: AlSi2Cl after structural relaxation at the PBE-GGA level of DFT.

Lattice parameters (Å, degrees): 3.2812 3.4987 8.4749 90.00 90.00 90.00
Positions (direct):
Si (0.5000, 0.5000, 0.1370)
Cl (0.5000, 0.5000, 0.6395)
Si (0.0000, 0.0000, 0.2153)
Al (0.0000, 0.0000, 0.5082)

Properties
polymorph energy (0 for the lowest one): 599.8 meV/atom
electronic total energy: -15.65 eV per cell

***

Entry 16:
Computed, not measured: AlSi2Cl after structural relaxation at the PBE-GGA level of DFT.

Lattice parameters (Å, degrees): 3.0307 3.0307 8.7188 90.00 90.00 119.61
Positions (direct):
Al (0.5000, 0.5000, 0.2500)
Si (0.0000, 0.0000, 0.0019)
Cl (0.5000, 0.5000, 0.7500)
Si (0.0000, 0.0000, 0.4981)

Properties
polymorph energy (0 for the lowest one): 773.1 meV/atom
electronic total energy: -14.96 eV per cell

***

Entry 17:
Computed, not measured: AlSi2Cl after structural relaxation at the PBE-GGA level of DFT.

Lattice parameters (Å, degrees): 6.1695 6.1695 4.3105 69.55 69.55 27.35
Positions (direct):
Al (0.7500, 0.7500, 0.7500)
Cl (0.2500, 0.2500, 0.2500)
Si (0.4590, 0.4590, 0.5411)
Si (0.0410, 0.0410, 0.9589)

Properties
polymorph energy (0 for the lowest one): 569.5 meV/atom
electronic total energy: -15.77 eV per cell

***

Entry 18:
Computed, not measured: AlSiCl after structural relaxation at the PBE-GGA level of DFT.

Lattice parameters (Å, degrees): 7.6836 3.8623 11.2958 90.00 129.43 90.00
Positions (direct):
Cl (0.4120, 0.5000, 0.6051)
Al (0.5000, 0.5000, 0.0000)
Al (0.0000, 0.0000, 0.0000)
Al (0.0000, 0.5000, 0.5000)
Cl (0.5880, 0.0000, 0.8949)
Cl (0.4120, 0.0000, 0.1051)
Si (0.0993, 0.0000, 0.2577)
Si (0.9007, 0.5000, 0.2423)
Si (0.0993, 0.5000, 0.7577)
Cl (0.5880, 0.5000, 0.3949)
Si (0.9007, 0.0000, 0.7423)
Al (0.5000, 0.0000, 0.5000)

Properties
polymorph energy (0 for the lowest one): 203.2 meV/atom
electronic total energy: -48.37 eV per cell

***

Entry 19:
Computed, not measured: AlSi2Cl after structural relaxation at the PBE-GGA level of DFT.

Lattice parameters (Å, degrees): 5.5886 5.5886 7.5960 68.42 68.42 90.00
Positions (direct):
Si (0.3750, 0.4043, 0.7500)
Si (0.5957, 0.1250, 0.2500)
Al (0.5000, 0.5000, 0.0000)
Cl (0.7500, 0.2500, 0.5000)
Cl (0.0000, 0.0000, 0.0000)
Al (0.2500, 0.7500, 0.5000)
Si (0.8750, 0.8457, 0.7500)
Si (0.1543, 0.6250, 0.2500)

Properties
polymorph energy (0 for the lowest one): 1004.6 meV/atom
electronic total energy: -28.07 eV per cell

***

Entry 20:
Computed, not measured: AlSiCl2 after structural relaxation at the PBE-GGA level of DFT.

Lattice parameters (Å, degrees): 3.2088 3.2088 8.4946 90.00 90.00 90.00
Positions (direct):
Si (0.0000, 0.0000, 0.5349)
Cl (0.0000, 0.0000, 0.8998)
Cl (0.5000, 0.5000, 0.3490)
Al (0.5000, 0.5000, 0.7163)

Properties
polymorph energy (0 for the lowest one): 409.5 meV/atom
electronic total energy: -13.62 eV per cell

***

Short version: formation energy from raw total energies = -563, 190, -438, -164, -454, -34, -71, 202, -398, -47, 416, -64, 135, 357, 196, 369, 166, -360, 601, -191 meV/atom, in the order given.